[1]
Below is a relaxed NbAsO2 crystal, with properties calculated at the PBE level.

abc: 6.160 6.160 6.160
angles: 60.00 60.00 60.00
Fractional coordinates of all 8 atoms:
Nb  0.125  0.125  0.125
Nb  0.875  0.875  0.875
As  0.375  0.375  0.375
As  0.625  0.625  0.625
O  0.000  0.000  0.000
O  0.000  0.000  0.500
O  0.000  0.500  0.000
O  0.500  0.000  0.000

Output
D(E_F) ... 7.1 states/eV per cell
Space-group type ... Fd-3m (227)
ΔE_f (raw) ... -1.115 eV/atom

***

[2]
Below is a relaxed TbPrFe crystal, with properties calculated at the PBE level.

abc: 7.057 7.057 7.433
angles: 90.00 90.00 120.24
Fractional coordinates of all 12 atoms:
Tb  0.209  0.291  0.250
Tb  0.291  0.209  0.750
Tb  0.709  0.791  0.250
Tb  0.791  0.709  0.750
Pr  0.198  0.802  0.388
Pr  0.302  0.698  0.888
Pr  0.698  0.302  0.112
Pr  0.802  0.198  0.612
Fe  0.089  0.911  0.042
Fe  0.411  0.589  0.542
Fe  0.589  0.411  0.458
Fe  0.911  0.089  0.958

Output
D(E_F) ... 16.1 states/eV per cell
Space-group type ... Cmce (64)
Formation energy from the elements ... 0.3 eV per formula unit
Energy relative to the lowest polymorph listed for this composition ... 0.0 meV per atom

***

[3]
Below is a relaxed Na2PaBr8 crystal, with properties calculated at the PBE level.

abc: 8.703 8.703 7.140
angles: 105.24 105.24 90.82
Fractional coordinates of all 11 atoms:
Na  0.217  0.217  0.194
Na  0.783  0.783  0.806
Pa  0.500  0.500  0.000
Br  0.021  0.021  0.811
Br  0.244  0.553  0.155
Br  0.304  0.304  0.654
Br  0.447  0.756  0.845
Br  0.553  0.244  0.155
Br  0.696  0.696  0.346
Br  0.756  0.447  0.845
Br  0.979  0.979  0.189

Output
D(E_F) ... 0.1 states/eV per cell
Space-group type ... C2/m (12)
ΔE_f (raw) ... -1.268 eV/atom
Energy relative to the lowest polymorph listed for this composition ... 0.0 meV per atom

***

[4]
Below is a relaxed Zn4As crystal, with properties calculated at the PBE level.

abc: 5.121 5.121 5.121
angles: 109.47 109.47 109.47
Fractional coordinates of all 5 atoms:
Zn  0.000  0.000  0.500
Zn  0.000  0.500  0.000
Zn  0.500  0.000  0.000
Zn  0.500  0.500  0.500
As  0.000  0.000  0.000

Output
D(E_F) ... 1.4 states/eV per cell
Space-group type ... Im-3m (229)
Formation energy from the elements ... 1.6 eV per formula unit
Energy relative to the lowest polymorph listed for this composition ... 216.0 meV per atom

***

[5]
Below is a relaxed KErGeSe4 crystal, with properties calculated at the PBE level.

abc: 6.739 7.047 9.138
angles: 90.00 107.66 90.00
Fractional coordinates of all 14 atoms:
K  0.244  0.250  0.057
K  0.756  0.750  0.943
Er  0.225  0.250  0.552
Er  0.775  0.750  0.448
Ge  0.228  0.750  0.331
Ge  0.772  0.250  0.669
Se  0.013  0.509  0.708
Se  0.013  0.991  0.708
Se  0.434  0.750  0.165
Se  0.447  0.750  0.587
Se  0.553  0.250  0.413
Se  0.566  0.250  0.835
Se  0.987  0.009  0.292
Se  0.987  0.491  0.292

Output
Space-group type ... P2_1/m (11)
ΔE_f (raw) ... -1.099 eV/atom

***

[6]
Below is a relaxed PmNbSe crystal, with properties calculated at the PBE level.

abc: 6.681 6.681 6.681
angles: 63.66 63.66 63.66
Fractional coordinates of all 9 atoms:
Pm  0.000  0.475  0.525
Pm  0.475  0.525  0.000
Pm  0.525  0.000  0.475
Nb  0.152  0.152  0.152
Nb  0.845  0.845  0.845
Nb  0.999  0.999  0.999
Se  0.230  0.770  0.499
Se  0.499  0.230  0.770
Se  0.770  0.499  0.230

Output
D(E_F) ... 7.6 states/eV per cell
Space-group type ... R3 (146)
ΔE_f (raw) ... -0.275 eV/atom

***

[7]
Below is a relaxed TaGaIrRh2 crystal, with properties calculated at the PBE level.

abc: 4.372 4.372 4.745
angles: 90.00 90.00 90.00
Fractional coordinates of all 5 atoms:
Ta  0.000  0.000  0.000
Ga  0.000  0.000  0.500
Ir  0.500  0.500  0.000
Rh  0.000  0.500  0.500
Rh  0.500  0.000  0.500

Output
D(E_F) ... 4.8 states/eV per cell
Space-group type ... P4/mmm (123)
Formation energy from the elements ... 5.3 eV per formula unit

***

[8]
Below is a relaxed Al2CoCu crystal, with properties calculated at the PBE level.

abc: 5.323 5.323 5.323
angles: 104.16 104.16 120.70
Fractional coordinates of all 8 atoms:
Al  0.115  0.125  0.490
Al  0.375  0.885  0.010
Al  0.635  0.625  0.510
Al  0.875  0.365  0.990
Co  0.000  0.000  0.000
Co  0.750  0.250  0.500
Cu  0.250  0.750  0.500
Cu  0.500  0.500  0.000

Output
D(E_F) ... 4.5 states/eV per cell
Space-group type ... I-42d (122)
Formation energy from the elements ... 0.6 eV per formula unit